Entry 1:
Here is a relaxed structure of Rb2NbOsO from the Alexandria database. Energies are from PBE-GGA.

```
data_Rb2NbOsO
_space_group_name_H-M_alt 'P 1'
_space_group_IT_number 1
_cell_length_a 7.0182
_cell_length_b 7.0182
_cell_length_c 3.6588
_cell_angle_alpha 90.00
_cell_angle_beta 90.00
_cell_angle_gamma 90.00
loop_
_space_group_symop_operation_xyz
'x,y,z'
loop_
_atom_site_label
_atom_site_fract_x
_atom_site_fract_y
_atom_site_fract_z
Rb1 0.0000 0.5000 0.0000
Rb2 0.5000 0.0000 0.0000
Nb1 0.0000 0.0000 0.5000
Os1 0.5000 0.5000 0.0000
O1 0.5000 0.5000 0.5000
```

## Properties
* ΔE_f (raw): 961 meV/atom
* crystal system: tetragonal


Entry 2:
Here is a relaxed structure of Er3TaO7 from the Alexandria database. Energies are from PBE-GGA.

```
data_Er3TaO7
_space_group_name_H-M_alt 'P 1'
_space_group_IT_number 1
_cell_length_a 6.3212
_cell_length_b 6.4450
_cell_length_c 7.5430
_cell_angle_alpha 73.27
_cell_angle_beta 89.66
_cell_angle_gamma 82.46
loop_
_space_group_symop_operation_xyz
'x,y,z'
loop_
_atom_site_label
_atom_site_fract_x
_atom_site_fract_y
_atom_site_fract_z
Er1 0.0453 0.0076 0.2508
Er2 0.2320 0.5481 0.1064
Er3 0.2364 0.5380 0.6150
Er4 0.7636 0.4620 0.3850
Er5 0.7680 0.4519 0.8936
Er6 0.9547 0.9924 0.7492
Ta1 0.5000 0.0000 0.0000
Ta2 0.5000 0.0000 0.5000
O1 0.0387 0.6390 0.8409
O2 0.0563 0.6534 0.3344
O3 0.2062 0.9266 0.5524
O4 0.2067 0.9309 0.9812
O5 0.4082 0.0457 0.2379
O6 0.4212 0.3232 0.4520
O7 0.4265 0.3337 0.8917
O8 0.5735 0.6663 0.1083
O9 0.5788 0.6768 0.5480
O10 0.5918 0.9543 0.7621
O11 0.7933 0.0691 0.0188
O12 0.7938 0.0734 0.4476
O13 0.9437 0.3466 0.6656
O14 0.9613 0.3610 0.1591
```

## Properties
* ΔE_f (raw): -3446 meV/atom
* crystal system: triclinic
* E above lowest polymorph: 0.000 eV/atom


Entry 3:
Here is a relaxed structure of Ho2Ga4Ni3Ir from the Alexandria database. Energies are from PBE-GGA.

```
data_Ho2Ga4Ni3Ir
_space_group_name_H-M_alt 'P 1'
_space_group_IT_number 1
_cell_length_a 4.0346
_cell_length_b 4.0346
_cell_length_c 10.2323
_cell_angle_alpha 90.00
_cell_angle_beta 90.00
_cell_angle_gamma 90.00
loop_
_space_group_symop_operation_xyz
'x,y,z'
loop_
_atom_site_label
_atom_site_fract_x
_atom_site_fract_y
_atom_site_fract_z
Ho1 0.0000 0.5000 0.2477
Ho2 0.5000 0.0000 0.7523
Ga1 0.0000 0.0000 0.0000
Ga2 0.0000 0.5000 0.6381
Ga3 0.5000 0.0000 0.3619
Ga4 0.5000 0.5000 0.0000
Ni1 0.0000 0.5000 0.8677
Ni2 0.5000 0.0000 0.1323
Ni3 0.5000 0.5000 0.5000
Ir1 0.0000 0.0000 0.5000
```

## Properties
* energy of formation from the pure elements: -615 meV per atom
* crystal system: tetragonal


Entry 4:
Here is a relaxed structure of TaBeCoCu from the Alexandria database. Energies are from PBE-GGA.

```
data_TaBeCoCu
_space_group_name_H-M_alt 'P 1'
_space_group_IT_number 1
_cell_length_a 4.1262
_cell_length_b 4.1262
_cell_length_c 4.1262
_cell_angle_alpha 60.00
_cell_angle_beta 60.00
_cell_angle_gamma 60.00
loop_
_space_group_symop_operation_xyz
'x,y,z'
loop_
_atom_site_label
_atom_site_fract_x
_atom_site_fract_y
_atom_site_fract_z
Ta1 0.0000 0.0000 0.0000
Be1 0.5000 0.5000 0.5000
Co1 0.2500 0.2500 0.2500
Cu1 0.7500 0.7500 0.7500
```

## Properties
* energy of formation from the pure elements: -13 meV per atom
* crystal system: cubic


Entry 5:
Here is a relaxed structure of Mg2In2Ga15 from the Alexandria database. Energies are from PBE-GGA.

```
data_Mg2In2Ga15
_space_group_name_H-M_alt 'P 1'
_space_group_IT_number 1
_cell_length_a 7.3997
_cell_length_b 7.3997
_cell_length_c 7.3997
_cell_angle_alpha 79.23
_cell_angle_beta 79.23
_cell_angle_gamma 79.23
loop_
_space_group_symop_operation_xyz
'x,y,z'
loop_
_atom_site_label
_atom_site_fract_x
_atom_site_fract_y
_atom_site_fract_z
Mg1 0.1085 0.1085 0.1085
Mg2 0.8915 0.8915 0.8915
In1 0.3452 0.3452 0.3452
In2 0.6548 0.6548 0.6548
Ga1 0.0000 0.0000 0.5000
Ga2 0.0000 0.2873 0.7127
Ga3 0.0000 0.5000 0.0000
Ga4 0.0000 0.7127 0.2873
Ga5 0.1408 0.6237 0.6237
Ga6 0.2873 0.0000 0.7127
Ga7 0.2873 0.7127 0.0000
Ga8 0.3763 0.3763 0.8592
Ga9 0.3763 0.8592 0.3763
Ga10 0.5000 0.0000 0.0000
Ga11 0.6237 0.1408 0.6237
Ga12 0.6237 0.6237 0.1408
Ga13 0.7127 0.0000 0.2873
Ga14 0.7127 0.2873 0.0000
Ga15 0.8592 0.3763 0.3763
```

## Properties
* energy of formation from the pure elements: -1 meV per atom
* crystal system: trigonal


Entry 6:
Here is a relaxed structure of HoInTe from the Alexandria database. Energies are from PBE-GGA.

```
data_HoInTe
_space_group_name_H-M_alt 'P 1'
_space_group_IT_number 1
_cell_length_a 4.2856
_cell_length_b 4.2856
_cell_length_c 10.1631
_cell_angle_alpha 101.86
_cell_angle_beta 101.86
_cell_angle_gamma 89.81
loop_
_space_group_symop_operation_xyz
'x,y,z'
loop_
_atom_site_label
_atom_site_fract_x
_atom_site_fract_y
_atom_site_fract_z
Ho1 0.1581 0.1581 0.3105
Ho2 0.8419 0.8419 0.6895
In1 0.2453 0.2453 0.9923
In2 0.7547 0.7547 0.0077
Te1 0.3166 0.3166 0.6358
Te2 0.6834 0.6834 0.3642
```

## Properties
* ΔE_f (raw): -757 meV/atom
* crystal system: monoclinic


Entry 7:
Here is a relaxed structure of ZrTaBr2 from the Alexandria database. Energies are from PBE-GGA.

```
data_ZrTaBr2
_space_group_name_H-M_alt 'P 1'
_space_group_IT_number 1
_cell_length_a 10.0237
_cell_length_b 10.0237
_cell_length_c 10.0237
_cell_angle_alpha 19.65
_cell_angle_beta 19.65
_cell_angle_gamma 19.65
loop_
_space_group_symop_operation_xyz
'x,y,z'
loop_
_atom_site_label
_atom_site_fract_x
_atom_site_fract_y
_atom_site_fract_z
Zr1 0.0000 0.0000 0.0000
Ta1 0.2553 0.2553 0.2553
Br1 0.5281 0.5281 0.5281
Br2 0.7317 0.7317 0.7317
```

## Properties
* ΔE_f (raw): -549 meV/atom
* crystal system: trigonal
* E above lowest polymorph: 0.000 eV/atom


Entry 8:
Here is a relaxed structure of RbMgZn2Cl8 from the Alexandria database. Energies are from PBE-GGA.

```
data_RbMgZn2Cl8
_space_group_name_H-M_alt 'P 1'
_space_group_IT_number 1
_cell_length_a 9.8550
_cell_length_b 9.8550
_cell_length_c 9.8550
_cell_angle_alpha 37.79
_cell_angle_beta 37.79
_cell_angle_gamma 37.79
loop_
_space_group_symop_operation_xyz
'x,y,z'
loop_
_atom_site_label
_atom_site_fract_x
_atom_site_fract_y
_atom_site_fract_z
Rb1 0.0000 0.0000 0.0000
Mg1 0.5000 0.5000 0.5000
Zn1 0.2432 0.2432 0.2432
Zn2 0.7568 0.7568 0.7568
Cl1 0.1280 0.4384 0.7724
Cl2 0.2276 0.8720 0.5616
Cl3 0.3265 0.3265 0.3265
Cl4 0.4384 0.7724 0.1280
Cl5 0.5616 0.2276 0.8720
Cl6 0.6735 0.6735 0.6735
Cl7 0.7724 0.1280 0.4384
Cl8 0.8720 0.5616 0.2276
```

## Properties
* ΔE_f (raw): -1282 meV/atom
* crystal system: trigonal


Entry 9:
Here is a relaxed structure of Sr4Ac from the Alexandria database. Energies are from PBE-GGA.

```
data_Sr4Ac
_space_group_name_H-M_alt 'P 1'
_space_group_IT_number 1
_cell_length_a 4.1545
_cell_length_b 4.1545
_cell_length_c 17.3572
_cell_angle_alpha 96.83
_cell_angle_beta 96.83
_cell_angle_gamma 60.03
loop_
_space_group_symop_operation_xyz
'x,y,z'
loop_
_atom_site_label
_atom_site_fract_x
_atom_site_fract_y
_atom_site_fract_z
Sr1 0.1029 0.1029 0.3054
Sr2 0.3002 0.3002 0.8987
Sr3 0.6998 0.6998 0.1013
Sr4 0.8971 0.8971 0.6946
Ac1 0.5000 0.5000 0.5000
```

## Properties
* energy of formation from the pure elements: 34 meV per atom
* crystal system: monoclinic
* E above lowest polymorph: 0.000 eV/atom


Entry 10:
Here is a relaxed structure of TbSm2Tm7 from the Alexandria database. Energies are from PBE-GGA.

```
data_TbSm2Tm7
_space_group_name_H-M_alt 'P 1'
_space_group_IT_number 1
_cell_length_a 6.0843
_cell_length_b 7.0415
_cell_length_c 7.8765
_cell_angle_alpha 76.96
_cell_angle_beta 75.07
_cell_angle_gamma 73.48
loop_
_space_group_symop_operation_xyz
'x,y,z'
loop_
_atom_site_label
_atom_site_fract_x
_atom_site_fract_y
_atom_site_fract_z
Tb1 0.0000 0.0000 0.0000
Sm1 0.2012 0.7982 0.6005
Sm2 0.7988 0.2018 0.3995
Tm1 0.0000 0.5000 0.0000
Tm2 0.1995 0.3003 0.6010
Tm3 0.3996 0.1006 0.1988
Tm4 0.4002 0.6001 0.1982
Tm5 0.5998 0.3999 0.8018
Tm6 0.6004 0.8994 0.8012
Tm7 0.8005 0.6997 0.3990
```

## Properties
* energy of formation from the pure elements: 23 meV per atom
* crystal system: triclinic
* E above lowest polymorph: 0.000 eV/atom


Entry 11:
Here is a relaxed structure of TmAlPb2S5 from the Alexandria database. Energies are from PBE-GGA.

```
data_TmAlPb2S5
_space_group_name_H-M_alt 'P 1'
_space_group_IT_number 1
_cell_length_a 9.0205
_cell_length_b 9.0205
_cell_length_c 12.8217
_cell_angle_alpha 90.00
_cell_angle_beta 90.00
_cell_angle_gamma 155.09
loop_
_space_group_symop_operation_xyz
'x,y,z'
loop_
_atom_site_label
_atom_site_fract_x
_atom_site_fract_y
_atom_site_fract_z
Tm1 0.1999 0.8001 0.5000
Tm2 0.8001 0.1999 0.0000
Al1 0.4446 0.5554 0.8970
Al2 0.5554 0.4446 0.3970
Pb1 0.1222 0.8778 0.7959
Pb2 0.1306 0.8694 0.1404
Pb3 0.8694 0.1306 0.6404
Pb4 0.8778 0.1222 0.2959
S1 0.0401 0.9599 0.4954
S2 0.2953 0.7047 0.1443
S3 0.3188 0.6812 0.8543
S4 0.3502 0.6498 0.4851
S5 0.4911 0.5089 0.2479
S6 0.5089 0.4911 0.7479
S7 0.6498 0.3502 0.9851
S8 0.6812 0.3188 0.3543
S9 0.7047 0.2953 0.6443
S10 0.9599 0.0401 0.9954
```

## Properties
* ΔE_f (raw): -1118 meV/atom
* crystal system: orthorhombic


Entry 12:
Here is a relaxed structure of Tb5Pm3Y from the Alexandria database. Energies are from PBE-GGA.

```
data_Tb5Pm3Y
_space_group_name_H-M_alt 'P 1'
_space_group_IT_number 1
_cell_length_a 10.5430
_cell_length_b 10.5430
_cell_length_c 11.6237
_cell_angle_alpha 120.65
_cell_angle_beta 120.65
_cell_angle_gamma 34.08
loop_
_space_group_symop_operation_xyz
'x,y,z'
loop_
_atom_site_label
_atom_site_fract_x
_atom_site_fract_y
_atom_site_fract_z
Tb1 0.0406 0.6828 0.3565
Tb2 0.0680 0.9320 0.7500
Tb3 0.1236 0.5191 0.6649
Tb4 0.3172 0.9594 0.1435
Tb5 0.4809 0.8764 0.8351
Tb6 0.5191 0.1236 0.1649
Tb7 0.6828 0.0406 0.8565
Tb8 0.8764 0.4809 0.3351
Tb9 0.9320 0.0680 0.2500
Tb10 0.9594 0.3172 0.6435
Pm1 0.1016 0.5354 0.9645
Pm2 0.4646 0.8984 0.5355
Pm3 0.5000 0.5000 0.0000
Pm4 0.5000 0.5000 0.5000
Pm5 0.5354 0.1016 0.4645
Pm6 0.8984 0.4646 0.0355
Y1 0.4213 0.5787 0.2500
Y2 0.5787 0.4213 0.7500
```

## Properties
* energy of formation from the pure elements: 303 meV per atom
* crystal system: monoclinic
* E above lowest polymorph: 0.035 eV/atom